*A*
Entry from the Alexandria database: OsRh5 at its PBEsol-relaxed geometry (meta-GGA SCAN).

The structure belongs to space group Amm2 (No. 38); the cell edges are 4.321, 2.689 and 14.002 Å and the angles 90.00°, 90.00° and 90.00°. The inequivalent atoms are Os at (0.000, 0.000, 0.000), Rh at (0.000, 0.000, 0.336), Rh at (0.000, 0.000, 0.664), Rh at (0.500, 0.000, 0.224), Rh at (0.500, 0.000, 0.556) and Rh at (0.500, 0.000, 0.889).

The density of states at the Fermi level is 1.06 states/eV per atom. The value obtained for the total magnetic moment is 0.0 Bohr magnetons per cell. The mass density is 14.38 g/cm3.

*B*
Entry from the Alexandria database: OsRh5 at its PBEsol-relaxed geometry (meta-GGA SCAN).

The structure belongs to space group P-62m (No. 189); the cell edges are 4.6569, 4.6569 and 4.3257 Å and the angles 90.00°, 90.00° and 120.00°. The inequivalent atoms are Os at (0.0000, 0.0000, 0.0000), Rh at (0.0000, 0.3295, 0.5000) and Rh at (0.3333, 0.6667, 0.0000).

The density of states at the Fermi level is 0.99 states/eV per atom. The value obtained for the total magnetic moment is 0.0 Bohr magnetons per cell. The mass density is 14.41 g/cm3.

Structures ranked by computed energy, the most stable listed first: *B*, *A*.

*A*
Entry from the Alexandria database: Os5Rh at its PBEsol-relaxed geometry (meta-GGA SCAN).

The structure belongs to space group Amm2 (No. 38); the cell edges are 4.312, 2.719 and 14.170 Å and the angles 90.00°, 90.00° and 90.00°. The inequivalent atoms are Os at (0.000, 0.000, 0.000), Os at (0.000, 0.000, 0.333), Os at (0.000, 0.000, 0.666), Os at (0.500, 0.000, 0.442), Os at (0.500, 0.000, 0.778) and Rh at (0.500, 0.000, 0.111).

The density of states at the Fermi level is 0.60 states/eV per atom. The value obtained for the total magnetic moment is 0.0 Bohr magnetons per cell. The mass density is 21.07 g/cm3.

*B*
Entry from the Alexandria database: Os5Rh at its PBEsol-relaxed geometry (meta-GGA SCAN).

The structure belongs to space group Cm (No. 8); the cell edges are 9.836, 2.721 and 6.392 Å and the angles 90.00°, 103.79° and 90.00°. The inequivalent atoms are Os at (0.000, 0.000, 0.000), Os at (0.055, 0.000, 0.614), Os at (0.163, 0.500, 0.334), Os at (0.221, 0.500, 0.942), Os at (0.332, 0.000, 0.666) and Rh at (0.386, 0.000, 0.278).

The density of states at the Fermi level is 0.64 states/eV per atom. The value obtained for the total magnetic moment is 0.0 Bohr magnetons per cell. The mass density is 21.07 g/cm3.

Structures ranked by computed energy, the most stable listed first: *A*, *B*.